Entry 1:
! GGA-PBE Tm8Sn5Sb, relaxed; values from VASP
! V: 383.2 Å³/cell
! E_tot: -5.00 eV/atom
! Raw formation energy: -0.7258 eV per atom
! M_tot: 0.000 μB per atom
! DOS(E_F): 8.3 states/eV/cell
&SYSTEM
  ibrav = 0, nat = 14, ntyp = 3
/
ATOMIC_SPECIES
Tm 168.93 Tm.upf
Sn 118.71 Sn.upf
Sb 121.76 Sb.upf
ATOMIC_POSITIONS crystal
Tm 0.0194 0.6244 0.7496
Tm 0.2315 0.4830 0.1054
Tm 0.3756 0.1252 0.3950
Tm 0.3775 0.1260 0.8946
Tm 0.5170 0.6225 0.7485
Tm 0.7302 0.9806 0.6050
Tm 0.8740 0.7685 0.2515
Tm 0.8748 0.2698 0.2504
Sn 0.1240 0.2483 0.6243
Sn 0.2500 0.7500 0.5000
Sn 0.5003 0.8760 0.1243
Sn 0.6241 0.4997 0.3757
Sn 0.7517 0.3759 0.8757
Sb 0.0000 0.0000 0.0000
CELL_PARAMETERS angstrom
-4.5742 4.5742 4.5780
4.5742 -4.5742 4.5780
4.5742 4.5742 -4.5780


Entry 2:
! GGA-PBE Cs2NaHgCl, relaxed; values from VASP
! V: 261.8 Å³/cell
! E_tot: -1.76 eV/atom
! Raw formation energy: -0.7257 eV per atom
! M_tot: 0.000 μB per atom
! DOS(E_F): 2.7 states/eV/cell
&SYSTEM
  ibrav = 0, nat = 5, ntyp = 4
/
ATOMIC_SPECIES
Cs 132.91 Cs.upf
Na 22.99 Na.upf
Hg 200.59 Hg.upf
Cl 35.45 Cl.upf
ATOMIC_POSITIONS crystal
Cs 0.0000 0.5000 0.0000
Cs 0.5000 0.0000 0.0000
Na 0.0000 0.0000 0.5000
Hg 0.5000 0.5000 0.5000
Cl 0.0000 0.0000 0.0000
CELL_PARAMETERS angstrom
6.8708 0.0000 0.0000
0.0000 6.8708 0.0000
0.0000 0.0000 5.5462


Entry 3:
! GGA-PBE V2CrTe4, relaxed; values from VASP
! V: 157.2 Å³/cell
! E_tot: -6.02 eV/atom
! Relative energy among the computed polymorphs: 0.0256 eV per atom
! Raw formation energy: -0.2439 eV per atom
! M_tot: 0.548 μB per atom
! DOS(E_F): 4.6 states/eV/cell
&SYSTEM
  ibrav = 0, nat = 7, ntyp = 3
/
ATOMIC_SPECIES
V 50.94 V.upf
Cr 52.00 Cr.upf
Te 127.60 Te.upf
ATOMIC_POSITIONS crystal
V 0.2464 0.2464 0.1860
V 0.7536 0.7536 0.8140
Cr 0.5000 0.5000 0.5000
Te 0.1418 0.1418 0.4767
Te 0.3938 0.3938 0.0488
Te 0.6062 0.6062 0.9512
Te 0.8582 0.8582 0.5233
CELL_PARAMETERS angstrom
7.0857 -1.8470 0.0000
7.0857 1.8470 0.0000
-2.9877 0.0000 6.0075


Entry 4:
! GGA-PBE Re2Au, relaxed; values from VASP
! V: 94.1 Å³/cell
! E_tot: -8.99 eV/atom
! Relative energy among the computed polymorphs: 0.1800 eV per atom
! Formation energy from the elements: 1.20 eV per formula unit
! M_tot: 0.000 μB per atom
! DOS(E_F): 4.5 states/eV/cell
&SYSTEM
  ibrav = 0, nat = 6, ntyp = 2
/
ATOMIC_SPECIES
Re 186.21 Re.upf
Au 196.97 Au.upf
ATOMIC_POSITIONS crystal
Re 0.0000 0.0000 0.0000
Re 0.0471 0.0471 0.6148
Re 0.3921 0.3921 0.2643
Re 0.7111 0.7111 0.9481
Au 0.3294 0.3294 0.6767
Au 0.6656 0.6656 0.3346
CELL_PARAMETERS angstrom
5.1780 -1.4229 0.0000
5.1780 1.4229 0.0000
-1.8336 0.0000 6.3838


Entry 5:
! GGA-PBE ThCuAu, relaxed; values from VASP
! V: 128.7 Å³/cell
! E_tot: -5.41 eV/atom
! Relative energy among the computed polymorphs: 0.0068 eV per atom
! Formation energy from the elements: -1.45 eV per formula unit
! M_tot: 0.000 μB per atom
! DOS(E_F): 3.9 states/eV/cell
&SYSTEM
  ibrav = 0, nat = 6, ntyp = 3
/
ATOMIC_SPECIES
Th 232.04 Th.upf
Cu 63.55 Cu.upf
Au 196.97 Au.upf
ATOMIC_POSITIONS crystal
Th 0.2498 0.0000 0.2498
Th 0.7502 0.0000 0.7502
Cu 0.3456 0.3456 0.0000
Cu 0.6544 0.6544 0.0000
Au 0.1768 0.6768 0.5000
Au 0.8232 0.3232 0.5000
CELL_PARAMETERS angstrom
-2.2758 3.4950 4.0455
2.2758 -3.4950 4.0455
2.2758 3.4950 -4.0455


Entry 6:
! GGA-PBE Pm3MgNi, relaxed; values from VASP
! V: 281.2 Å³/cell
! E_tot: -4.45 eV/atom
! Relative energy among the computed polymorphs: 0.0083 eV per atom
! Formation energy from the elements: -0.64 eV per formula unit
! M_tot: 0.000 μB per atom
! DOS(E_F): 10.6 states/eV/cell
&SYSTEM
  ibrav = 0, nat = 10, ntyp = 3
/
ATOMIC_SPECIES
Pm 145.00 Pm.upf
Mg 24.30 Mg.upf
Ni 58.69 Ni.upf
ATOMIC_POSITIONS crystal
Pm 0.0066 0.2500 0.1706
Pm 0.2290 0.7500 0.5526
Pm 0.3642 0.7500 0.2197
Pm 0.6358 0.2500 0.7803
Pm 0.7710 0.2500 0.4474
Pm 0.9934 0.7500 0.8294
Mg 0.3333 0.2500 0.9042
Mg 0.6667 0.7500 0.0958
Ni 0.3952 0.2500 0.4439
Ni 0.6048 0.7500 0.5561
CELL_PARAMETERS angstrom
8.7359 0.0000 0.0000
0.0000 3.8695 0.0000
-4.0040 0.0000 8.3185


- Among the records above, which one has the highest E_tot?
  Cs2NaHgCl


- Look up the E_tot of the fourth one.
  -8.99 eV/atom


- Which value of DOS(E_F) does entry 5 give?
  3.9 states/eV/cell